A) BeHg2Pt (PBE, optimized geometry); DOS at the Fermi energy = 0.32 states/eV/atom
1.0
7.313 -1.494 0.000
7.313 1.494 0.000
-0.005 0.000 3.534
Be Hg Pt
1 2 1
direct
0.000 0.000 0.000 Be
0.338 0.338 0.000 Hg
0.662 0.662 0.000 Hg
0.500 0.500 0.500 Pt

B) BeHg2Pt (PBE, optimized geometry); DOS at the Fermi energy = 0.32 states/eV/atom
1.0
2.785 -4.741 0.000
2.785 4.741 0.000
-1.494 0.000 2.772
Be Hg Pt
1 2 1
direct
0.000 0.000 0.000 Be
0.000 0.500 0.000 Hg
0.500 0.000 0.000 Hg
0.500 0.500 0.000 Pt

Each structure's energy above the most stable one, in meV/atom: A) 0; B) 412.

A) BeHgPt (PBE, optimized geometry); DOS at the Fermi energy = 0.40 states/eV/atom
1.0
2.983 0.000 0.000
-1.491 2.583 0.000
0.000 0.000 6.241
Be Hg Pt
1 1 1
direct
0.000 0.000 0.000 Be
0.667 0.333 0.351 Hg
0.333 0.667 0.761 Pt

B) BeHgPt (PBE, optimized geometry); DOS at the Fermi energy = 0.26 states/eV/atom
1.0
-1.426 1.692 4.930
1.426 -1.692 4.930
1.426 1.692 -4.930
Be Hg Pt
1 1 1
direct
0.000 0.000 0.000 Be
0.286 0.286 0.000 Hg
0.574 0.574 0.000 Pt

Each structure's energy above the most stable one, in meV/atom: A) 174; B) 0.

A) BeHgPt2 (PBE, optimized geometry); DOS at the Fermi energy = 0.29 states/eV/atom
1.0
4.063 0.000 0.000
0.000 4.063 0.000
0.000 0.000 3.747
Be Hg Pt
1 1 2
direct
0.000 0.000 0.000 Be
0.500 0.500 0.000 Hg
0.000 0.500 0.500 Pt
0.500 0.000 0.500 Pt

B) BeHgPt2 (PBE, optimized geometry); DOS at the Fermi energy = 0.35 states/eV/atom
1.0
-1.657 2.333 3.996
1.657 -2.333 3.996
1.657 2.333 -3.996
Be Hg Pt
1 1 2
direct
0.000 0.000 0.000 Be
0.500 0.500 0.000 Hg
0.200 0.700 0.500 Pt
0.800 0.300 0.500 Pt

C) BeHgPt2 (PBE, optimized geometry); DOS at the Fermi energy = 0.44 states/eV/atom
1.0
2.814 0.000 0.000
0.000 3.556 0.000
0.000 0.000 6.434
Be Hg Pt
1 1 2
direct
0.000 0.000 0.000 Be
0.500 0.500 0.349 Hg
0.000 0.000 0.631 Pt
0.500 0.500 0.909 Pt

Each structure's energy above the most stable one, in meV/atom: A) 110; B) 0; C) 21.

A) BeHgPt2 (PBE, optimized geometry); DOS at the Fermi energy = 0.34 states/eV/atom
1.0
-2.028 2.028 3.766
2.028 -2.028 3.766
2.028 2.028 -3.766
Be Hg Pt
1 1 2
direct
0.000 0.000 0.000 Be
0.500 0.500 0.000 Hg
0.250 0.750 0.500 Pt
0.750 0.250 0.500 Pt

B) BeHgPt2 (PBE, optimized geometry); DOS at the Fermi energy = 0.29 states/eV/atom
1.0
2.861 0.000 0.000
0.000 2.857 0.000
-0.064 0.000 7.309
Be Hg Pt
1 1 2
direct
0.000 0.000 0.000 Be
0.000 0.000 0.500 Hg
0.494 0.500 0.807 Pt
0.506 0.500 0.193 Pt

C) BeHgPt2 (PBE, optimized geometry); DOS at the Fermi energy = 0.20 states/eV/atom
1.0
2.860 -3.722 0.000
2.860 3.722 0.000
0.000 0.000 2.936
Be Hg Pt
1 1 2
direct
0.000 0.000 0.000 Be
0.500 0.500 0.000 Hg
0.000 0.500 0.500 Pt
0.500 0.000 0.500 Pt

D) BeHgPt2 (PBE, optimized geometry); DOS at the Fermi energy = 0.52 states/eV/atom
1.0
0.000 3.147 3.147
3.147 0.000 3.147
3.147 3.147 0.000
Be Hg Pt
1 1 2
direct
0.000 0.000 0.000 Be
0.500 0.500 0.500 Hg
0.250 0.250 0.250 Pt
0.750 0.750 0.750 Pt

Each structure's energy above the most stable one, in meV/atom: A) 316; B) 0; C) 352; D) 389.

A) BeHgPt2 (PBE, optimized geometry); DOS at the Fermi energy = 0.44 states/eV/atom
1.0
-1.967 1.967 4.039
1.967 -1.967 4.039
1.967 1.967 -4.039
Be Hg Pt
1 1 2
direct
0.000 0.000 0.000 Be
0.250 0.750 0.500 Hg
0.500 0.500 0.000 Pt
0.750 0.250 0.500 Pt

B) BeHgPt2 (PBE, optimized geometry); DOS at the Fermi energy = 0.44 states/eV/atom
1.0
-2.316 2.316 7.354
2.316 -2.316 7.354
2.316 2.316 -7.354
Be Hg Pt
2 2 4
direct
0.000 0.000 0.000 Be
0.750 0.250 0.500 Be
0.250 0.750 0.500 Hg
0.500 0.500 0.000 Hg
0.003 0.625 0.878 Pt
0.375 0.253 0.378 Pt
0.747 0.125 0.122 Pt
0.875 0.997 0.622 Pt

Each structure's energy above the most stable one, in meV/atom: A) 0; B) 143.

A) BeHgPt2 (PBE, optimized geometry); DOS at the Fermi energy = 0.21 states/eV/atom
1.0
1.413 0.816 9.116
-1.413 0.816 9.116
0.000 -1.631 9.116
Be Hg Pt
1 1 2
direct
0.000 0.000 0.000 Be
0.500 0.500 0.500 Hg
0.270 0.270 0.270 Pt
0.730 0.730 0.730 Pt

B) BeHgPt2 (PBE, optimized geometry); DOS at the Fermi energy = 0.42 states/eV/atom
1.0
2.837 0.000 0.000
0.000 3.633 0.000
-1.404 0.000 6.127
Be Hg Pt
1 1 2
direct
0.000 0.000 0.000 Be
0.170 0.500 0.340 Hg
0.457 0.500 0.915 Pt
0.809 0.000 0.625 Pt

Each structure's energy above the most stable one, in meV/atom: A) 0; B) 126.

A) BeHgPt2 (PBE, optimized geometry); DOS at the Fermi energy = 0.40 states/eV/atom
1.0
3.109 -1.824 0.000
3.109 1.824 0.000
-2.149 0.000 5.812
Be Hg Pt
1 1 2
direct
0.000 0.000 0.000 Be
0.500 0.500 0.500 Hg
0.278 0.278 0.836 Pt
0.722 0.722 0.164 Pt

B) BeHgPt2 (PBE, optimized geometry); DOS at the Fermi energy = 0.31 states/eV/atom
1.0
-1.446 1.496 7.330
1.446 -1.496 7.330
1.446 1.496 -7.330
Be Hg Pt
1 1 2
direct
0.000 0.000 0.000 Be
0.260 0.760 0.500 Hg
0.428 0.428 0.000 Pt
0.616 0.116 0.500 Pt

Each structure's energy above the most stable one, in meV/atom: A) 52; B) 0.

A) Be3HgPt (PBE, optimized geometry); DOS at the Fermi energy = 0.93 states/eV/atom
1.0
4.327 0.000 0.000
0.000 4.327 0.000
0.000 0.000 4.327
Be Hg Pt
3 1 1
direct
0.000 0.000 0.500 Be
0.000 0.500 0.000 Be
0.500 0.000 0.000 Be
0.000 0.000 0.000 Hg
0.500 0.500 0.500 Pt

B) Be3HgPt (PBE, optimized geometry); DOS at the Fermi energy = 0.34 states/eV/atom
1.0
4.336 0.000 0.000
0.000 4.336 0.000
0.000 0.000 4.336
Be Hg Pt
3 1 1
direct
0.000 0.000 0.500 Be
0.000 0.500 0.000 Be
0.500 0.000 0.000 Be
0.500 0.500 0.500 Hg
0.000 0.000 0.000 Pt

Each structure's energy above the most stable one, in meV/atom: A) 830; B) 0.

A) RbBeHg2Pt (PBE, optimized geometry); DOS at the Fermi energy = 0.29 states/eV/atom
1.0
5.421 0.000 0.000
0.000 5.421 0.000
0.000 0.000 4.480
Rb Be Hg Pt
1 1 2 1
direct
0.000 0.000 0.000 Rb
0.500 0.500 0.000 Be
0.000 0.500 0.500 Hg
0.500 0.000 0.500 Hg
0.500 0.500 0.500 Pt

B) RbBeHg2Pt (PBE, optimized geometry); DOS at the Fermi energy = 0.39 states/eV/atom
1.0
5.112 0.000 0.000
0.000 5.112 0.000
0.000 0.000 4.534
Rb Be Hg Pt
1 1 2 1
direct
0.000 0.000 0.000 Rb
0.500 0.500 0.500 Be
0.000 0.500 0.500 Hg
0.500 0.000 0.500 Hg
0.500 0.500 0.000 Pt

Each structure's energy above the most stable one, in meV/atom: A) 0; B) 156.

A) RbBe3Hg (PBE, optimized geometry); DOS at the Fermi energy = 1.01 states/eV/atom
1.0
6.770 0.000 0.000
0.000 6.770 0.000
0.000 0.000 6.770
Rb Be Hg
1 3 1
direct
0.000 0.000 0.000 Rb
0.000 0.000 0.500 Be
0.000 0.500 0.000 Be
0.500 0.000 0.000 Be
0.500 0.500 0.500 Hg

B) RbBe3Hg (PBE, optimized geometry); DOS at the Fermi energy = 0.39 states/eV/atom
1.0
4.713 0.000 0.000
0.000 4.713 0.000
0.000 0.000 4.713
Rb Be Hg
1 3 1
direct
0.000 0.000 0.000 Rb
0.000 0.500 0.500 Be
0.500 0.000 0.500 Be
0.500 0.500 0.000 Be
0.500 0.500 0.500 Hg

Each structure's energy above the most stable one, in meV/atom: A) 1243; B) 0.

A) Rb2BeHg (PBE, optimized geometry); DOS at the Fermi energy = 0.96 states/eV/atom
1.0
-4.887 4.887 3.569
4.887 -4.887 3.569
4.887 4.887 -3.569
Rb Be Hg
4 2 2
direct
0.108 0.625 0.983 Rb
0.375 0.358 0.483 Rb
0.642 0.125 0.017 Rb
0.875 0.892 0.517 Rb
0.000 0.000 0.000 Be
0.750 0.250 0.500 Be
0.250 0.750 0.500 Hg
0.500 0.500 0.000 Hg

B) Rb2BeHg (PBE, optimized geometry); DOS at the Fermi energy = 1.87 states/eV/atom
1.0
0.000 4.366 4.366
4.366 0.000 4.366
4.366 4.366 0.000
Rb Be Hg
2 1 1
direct
0.250 0.250 0.250 Rb
0.750 0.750 0.750 Rb
0.000 0.000 0.000 Be
0.500 0.500 0.500 Hg

Each structure's energy above the most stable one, in meV/atom: A) 89; B) 0.

A) BeRe3Hg (PBE, optimized geometry); DOS at the Fermi energy = 0.84 states/eV/atom
1.0
4.225 0.000 0.000
0.000 4.225 0.000
0.000 0.000 4.225
Be Re Hg
1 3 1
direct
0.000 0.000 0.000 Be
0.000 0.000 0.500 Re
0.000 0.500 0.000 Re
0.500 0.000 0.000 Re
0.500 0.500 0.500 Hg

B) BeRe3Hg (PBE, optimized geometry); DOS at the Fermi energy = 1.41 states/eV/atom
1.0
4.905 0.000 0.000
0.000 4.905 0.000
0.000 0.000 4.905
Be Re Hg
1 3 1
direct
0.000 0.000 0.000 Be
0.000 0.500 0.500 Re
0.500 0.000 0.500 Re
0.500 0.500 0.000 Re
0.500 0.500 0.500 Hg

Each structure's energy above the most stable one, in meV/atom: A) 0; B) 2585.